Compound: Sr4BiSbH
Source: Alexandria via LeMat-Bulk
Functional: GGA-PBE
Structure: optimized geometry

```
Sr4BiSbH
1.0
-5.013 0.088 0.313
-0.325 -1.295 -4.843
2.661 -8.129 4.600
Sr Bi Sb H
4 1 1 1
direct
0.999 0.499 0.999
0.499 0.999 0.999
0.815 0.815 0.631
0.171 0.171 0.343
0.361 0.361 0.723
0.630 0.630 0.259
0.023 0.023 0.046
```

As for the final energy: -23.75 eV/cell. The magnetic moment comes out at 0.000 μB/atom. The value obtained for the volume is 228 Å³ per cell.